# MnHgTe2 PBE optimized geometry
# formation energy without anion corrections	-0.02	eV per atom
# raw total energy	-3.955	eV/atom
data_MnHgTe2
_chemical_formula_sum 'Mn1 Hg1 Te2'
_cell_length_a 4.048
_cell_length_b 4.048
_cell_length_c 7.062
_cell_angle_alpha 90.00
_cell_angle_beta 90.00
_cell_angle_gamma 90.00
_symmetry_space_group_name_H-M 'P 4 m m'
_symmetry_Int_Tables_number 99
loop_
_symmetry_equiv_pos_as_xyz
'x,y,z'
'-y,x,z'
'-x,-y,z'
'y,-x,z'
'-x,y,z'
'y,x,z'
'x,-y,z'
'-y,-x,z'
loop_
_atom_site_label
_atom_site_fract_x
_atom_site_fract_y
_atom_site_fract_z
Mn1 0.000 0.000 0.000
Hg1 0.500 0.500 0.498
Te1 0.000 0.000 0.614
Te2 0.500 0.500 0.078